Record 1
The following is a DFT calculation (PBE-GGA) of a geometry-optimized VSbTe2P structure.

Lattice parameters (Å, degrees): 5.194 5.194 4.975 90.00 90.00 90.00
Element x y z (fractional)
V  0.000  0.000  0.000
Sb  0.500  0.500  0.000
Te  0.000  0.500  0.500
Te  0.500  0.000  0.500
P  0.500  0.500  0.500

Output
uncorrected energy	-3.9446	eV per atom
uncorrected formation energy	1042	meV per atom

---

Record 2
The following is a DFT calculation (PBE-GGA) of a geometry-optimized VSb2TeP structure.

Lattice parameters (Å, degrees): 5.130 5.130 4.979 90.00 90.00 90.00
Element x y z (fractional)
V  0.000  0.000  0.000
Sb  0.000  0.500  0.000
Sb  0.500  0.000  0.000
Te  0.000  0.000  0.500
P  0.500  0.500  0.500

Output
uncorrected energy	-4.5482	eV per atom
uncorrected formation energy	635	meV per atom

---

Record 3
The following is a DFT calculation (PBE-GGA) of a geometry-optimized VSb2TeP structure.

Lattice parameters (Å, degrees): 5.041 5.041 5.232 90.00 90.00 90.00
Element x y z (fractional)
V  0.000  0.000  0.000
Sb  0.000  0.500  0.500
Sb  0.500  0.000  0.500
Te  0.500  0.500  0.000
P  0.500  0.500  0.500

Output
uncorrected energy	-4.1519	eV per atom
uncorrected formation energy	1031	meV per atom

---

Record 4
The following is a DFT calculation (PBE-GGA) of a geometry-optimized VSbTe2P structure.

Lattice parameters (Å, degrees): 5.046 5.046 5.200 90.00 90.00 90.00
Element x y z (fractional)
V  0.000  0.000  0.000
Sb  0.000  0.000  0.500
Te  0.000  0.500  0.000
Te  0.500  0.000  0.000
P  0.500  0.500  0.500

Output
uncorrected energy	-4.3495	eV per atom
uncorrected formation energy	637	meV per atom

---

Record 5
The following is a DFT calculation (PBE-GGA) of a geometry-optimized SbTe2PW structure.

Lattice parameters (Å, degrees): 5.144 5.144 4.971 90.00 90.00 90.00
Element x y z (fractional)
Sb  0.000  0.000  0.000
Te  0.000  0.500  0.500
Te  0.500  0.000  0.500
P  0.000  0.000  0.500
W  0.500  0.500  0.000

Output
uncorrected energy	-4.3965	eV per atom
uncorrected formation energy	1357	meV per atom

---

Record 6
The following is a DFT calculation (PBE-GGA) of a geometry-optimized Sb2TePW structure.

Lattice parameters (Å, degrees): 5.002 5.002 5.153 90.00 90.00 90.00
Element x y z (fractional)
Sb  0.000  0.500  0.000
Sb  0.500  0.000  0.000
Te  0.000  0.000  0.500
P  0.000  0.000  0.000
W  0.500  0.500  0.500

Output
uncorrected energy	-4.5803	eV per atom
uncorrected formation energy	1370	meV per atom

---

Record 7
The following is a DFT calculation (PBE-GGA) of a geometry-optimized SbTe2PW structure.

Lattice parameters (Å, degrees): 5.183 5.183 5.309 90.00 90.00 90.00
Element x y z (fractional)
Sb  0.000  0.000  0.000
Te  0.000  0.500  0.500
Te  0.500  0.000  0.500
P  0.500  0.500  0.000
W  0.000  0.000  0.500

Output
uncorrected energy	-4.7690	eV per atom
uncorrected formation energy	985	meV per atom

---

Record 8
The following is a DFT calculation (PBE-GGA) of a geometry-optimized Sb2TePW structure.

Lattice parameters (Å, degrees): 5.246 5.246 5.136 90.00 90.00 90.00
Element x y z (fractional)
Sb  0.000  0.500  0.000
Sb  0.500  0.000  0.000
Te  0.000  0.000  0.500
P  0.500  0.500  0.500
W  0.000  0.000  0.000

Output
uncorrected energy	-4.9849	eV per atom
uncorrected formation energy	965	meV per atom

---

Record 9
The following is a DFT calculation (PBE-GGA) of a geometry-optimized YSbTe2P structure.

Lattice parameters (Å, degrees): 5.787 5.787 5.979 90.00 90.00 90.00
Element x y z (fractional)
Y  0.000  0.000  0.000
Sb  0.000  0.000  0.500
Te  0.000  0.500  0.000
Te  0.500  0.000  0.000
P  0.500  0.500  0.500

Output
uncorrected energy	-3.8985	eV per atom
uncorrected formation energy	557	meV per atom

---

Record 10
The following is a DFT calculation (PBE-GGA) of a geometry-optimized YSbTe2P structure.

Lattice parameters (Å, degrees): 5.311 5.311 5.057 90.00 90.00 90.00
Element x y z (fractional)
Y  0.000  0.000  0.000
Sb  0.500  0.500  0.000
Te  0.000  0.500  0.500
Te  0.500  0.000  0.500
P  0.500  0.500  0.500

Output
uncorrected energy	-4.5206	eV per atom
uncorrected formation energy	-65	meV per atom

---

Record 11
The following is a DFT calculation (PBE-GGA) of a geometry-optimized Y8Sb3Te4P structure.

Lattice parameters (Å, degrees): 8.709 8.709 8.709 59.62 59.62 59.62
Element x y z (fractional)
Y  0.246  0.246  0.246
Y  0.262  0.732  0.732
Y  0.268  0.268  0.738
Y  0.268  0.738  0.268
Y  0.732  0.262  0.732
Y  0.732  0.732  0.262
Y  0.738  0.268  0.268
Y  0.754  0.754  0.754
Sb  0.000  0.000  0.500
Sb  0.000  0.500  0.000
Sb  0.500  0.000  0.000
Te  0.000  0.000  0.000
Te  0.000  0.500  0.500
Te  0.500  0.000  0.500
Te  0.500  0.500  0.000
P  0.500  0.500  0.500

Output
uncorrected energy	-6.4711	eV per atom
uncorrected formation energy	-1343	meV per atom

---

Record 12
The following is a DFT calculation (PBE-GGA) of a geometry-optimized Y8SbTe4P3 structure.

Lattice parameters (Å, degrees): 8.590 8.590 8.590 58.49 58.49 58.49
Element x y z (fractional)
Y  0.222  0.747  0.747
Y  0.236  0.236  0.236
Y  0.253  0.253  0.778
Y  0.253  0.778  0.253
Y  0.747  0.222  0.747
Y  0.747  0.747  0.222
Y  0.764  0.764  0.764
Y  0.778  0.253  0.253
Sb  0.500  0.500  0.500
Te  0.000  0.000  0.000
Te  0.000  0.500  0.500
Te  0.500  0.000  0.500
Te  0.500  0.500  0.000
P  0.000  0.000  0.500
P  0.000  0.500  0.000
P  0.500  0.000  0.000

Output
uncorrected energy	-6.7726	eV per atom
uncorrected formation energy	-1483	meV per atom

---

Record 13
The following is a DFT calculation (PBE-GGA) of a geometry-optimized YSbTe2P structure.

Lattice parameters (Å, degrees): 5.323 5.323 5.298 90.00 90.00 90.00
Element x y z (fractional)
Y  0.000  0.000  0.000
Sb  0.500  0.500  0.000
Te  0.000  0.500  0.500
Te  0.500  0.000  0.500
P  0.000  0.000  0.500

Output
uncorrected energy	-4.4883	eV per atom
uncorrected formation energy	-32	meV per atom

---

Record 14
The following is a DFT calculation (PBE-GGA) of a geometry-optimized Y4Sb2TeP structure.

Lattice parameters (Å, degrees): 7.424 4.276 7.461 90.00 109.19 90.00
Element x y z (fractional)
Y  0.234  0.000  0.230
Y  0.245  0.500  0.766
Y  0.755  0.500  0.234
Y  0.766  0.000  0.770
Sb  0.500  0.000  0.000
Sb  0.500  0.500  0.500
Te  0.000  0.000  0.500
P  0.000  0.500  0.000

Output
uncorrected energy	-6.6540	eV per atom
uncorrected formation energy	-1322	meV per atom

---

Record 15
The following is a DFT calculation (PBE-GGA) of a geometry-optimized Y4SbTe2P structure.

Lattice parameters (Å, degrees): 7.425 4.249 7.515 90.00 108.99 90.00
Element x y z (fractional)
Y  0.222  0.000  0.216
Y  0.238  0.500  0.774
Y  0.762  0.500  0.226
Y  0.778  0.000  0.784
Sb  0.500  0.000  0.000
Te  0.000  0.000  0.500
Te  0.500  0.500  0.500
P  0.000  0.500  0.000

Output
uncorrected energy	-6.6157	eV per atom
uncorrected formation energy	-1407	meV per atom

---

Record 16
The following is a DFT calculation (PBE-GGA) of a geometry-optimized ZnSbTe2P structure.

Lattice parameters (Å, degrees): 5.359 5.359 5.120 90.00 90.00 90.00
Element x y z (fractional)
Zn  0.000  0.000  0.000
Sb  0.500  0.500  0.000
Te  0.000  0.500  0.500
Te  0.500  0.000  0.500
P  0.500  0.500  0.500

Output
uncorrected energy	-2.8411	eV per atom
uncorrected formation energy	577	meV per atom

---

Record 17
The following is a DFT calculation (PBE-GGA) of a geometry-optimized ZnSbTe2P structure.

Lattice parameters (Å, degrees): 5.215 5.215 5.175 90.00 90.00 90.00
Element x y z (fractional)
Zn  0.000  0.000  0.000
Sb  0.000  0.000  0.500
Te  0.000  0.500  0.000
Te  0.500  0.000  0.000
P  0.500  0.500  0.500

Output
uncorrected energy	-2.5584	eV per atom
uncorrected formation energy	860	meV per atom

---

Record 18
The following is a DFT calculation (PBE-GGA) of a geometry-optimized ZrSbTe2P structure.

Lattice parameters (Å, degrees): 5.528 5.528 5.701 90.00 90.00 90.00
Element x y z (fractional)
Zr  0.000  0.000  0.000
Sb  0.000  0.000  0.500
Te  0.000  0.500  0.000
Te  0.500  0.000  0.000
P  0.500  0.500  0.500

Output
uncorrected energy	-4.3401	eV per atom
uncorrected formation energy	533	meV per atom

---

Record 19
The following is a DFT calculation (PBE-GGA) of a geometry-optimized ZrSb2TeP structure.

Lattice parameters (Å, degrees): 5.589 5.589 5.488 90.00 90.00 90.00
Element x y z (fractional)
Zr  0.000  0.000  0.000
Sb  0.000  0.500  0.000
Sb  0.500  0.000  0.000
Te  0.000  0.000  0.500
P  0.500  0.500  0.500

Output
uncorrected energy	-4.4201	eV per atom
uncorrected formation energy	649	meV per atom

---

Record 20
The following is a DFT calculation (PBE-GGA) of a geometry-optimized ZrSb2TeP structure.

Lattice parameters (Å, degrees): 5.063 5.063 5.212 90.00 90.00 90.00
Element x y z (fractional)
Zr  0.000  0.000  0.000
Sb  0.000  0.500  0.500
Sb  0.500  0.000  0.500
Te  0.500  0.500  0.000
P  0.500  0.500  0.500

Output
uncorrected energy	-4.5823	eV per atom
uncorrected formation energy	487	meV per atom